(1)
This record from Alexandria describes crystalline BePb2WBr at its relaxed geometry. The functional is PBE.

Unit cell a=5.506 b=4.502 c=5.506 alpha=90.00 beta=90.00 gamma=90.00
Atoms (fractional coordinates):
Be (0.000, 0.500, 0.000)
W (0.000, 0.000, 0.000)
Pb (0.500, 0.000, 0.000)
Pb (0.000, 0.000, 0.500)
Br (0.500, 0.500, 0.500)

Calculated values
Crystal system: tetragonal
SG: P4/mmm, No. 123
M_tot, μB per atom: 0.0001
ρ, kg/m3: 8359
V, Å³ per cell: 136.5
E_form (uncorrected), eV per atom: 0.75

=====

(2)
This record from Alexandria describes crystalline BePd3Br at its relaxed geometry. The functional is PBE.

Unit cell a=4.357 b=4.357 c=4.357 alpha=90.00 beta=90.00 gamma=90.00
Atoms (fractional coordinates):
Pd (0.500, 0.000, 0.000)
Pd (0.000, 0.000, 0.500)
Pd (0.000, 0.500, 0.000)
Be (0.000, 0.000, 0.000)
Br (0.500, 0.500, 0.500)

Calculated values
Crystal system: cubic
SG: Pm-3m, No. 221
M_tot, μB per atom: 0.0000
ρ, kg/m3: 8192
V, Å³ per cell: 82.7
ΔE to the lowest computed polymorph, eV per formula unit: 0.00
E_form (uncorrected), eV per atom: 0.14

=====

(3)
This record from Alexandria describes crystalline Be2PdBr6 at its relaxed geometry. The functional is PBE.

Unit cell a=6.586 b=9.527 c=9.527 alpha=78.77 beta=114.35 gamma=114.35
Atoms (fractional coordinates):
Br (0.545, 0.721, 0.589)
Br (0.045, 0.589, 0.721)
Br (0.578, 0.384, 0.844)
Br (0.574, 0.023, 0.225)
Br (0.422, 0.616, 0.156)
Br (0.078, 0.844, 0.384)
Br (0.922, 0.156, 0.616)
Br (0.926, 0.775, 0.977)
Br (0.455, 0.279, 0.411)
Br (0.074, 0.225, 0.023)
Br (0.426, 0.977, 0.775)
Br (0.955, 0.411, 0.279)
Be (0.290, 0.799, 0.620)
Be (0.790, 0.620, 0.799)
Be (0.710, 0.201, 0.380)
Be (0.210, 0.380, 0.201)
Pd (0.750, 0.261, 0.739)
Pd (0.250, 0.739, 0.261)

Calculated values
Crystal system: monoclinic
SG: C2/c, No. 15
M_tot, μB per atom: 0.0000
ρ, kg/m3: 4043
V, Å³ per cell: 496.0
E_form (uncorrected), eV per atom: -0.65

=====

(4)
This record from Alexandria describes crystalline BePd2Br at its relaxed geometry. The functional is PBE.

Unit cell a=4.439 b=4.439 c=4.439 alpha=60.00 beta=60.00 gamma=60.00
Atoms (fractional coordinates):
Pd (0.750, 0.750, 0.750)
Pd (0.250, 0.250, 0.250)
Be (0.000, 0.000, 0.000)
Br (0.500, 0.500, 0.500)

Calculated values
Crystal system: cubic
SG: Fm-3m, No. 225
M_tot, μB per atom: 0.0000
ρ, kg/m3: 8099
V, Å³ per cell: 61.9
ΔE to the lowest computed polymorph, eV per formula unit: 0.25
E_form (uncorrected), eV per atom: 0.26

=====

(5)
This record from Alexandria describes crystalline Be2PdBr at its relaxed geometry. The functional is PBE.

Unit cell a=4.309 b=4.309 c=4.309 alpha=60.00 beta=60.00 gamma=60.00
Atoms (fractional coordinates):
Pd (0.500, 0.500, 0.500)
Br (0.000, 0.000, 0.000)
Be (0.250, 0.250, 0.250)
Be (0.750, 0.750, 0.750)

Calculated values
Crystal system: cubic
SG: Fm-3m, No. 225
M_tot, μB per atom: 0.0000
ρ, kg/m3: 5998
V, Å³ per cell: 56.6
ΔE to the lowest computed polymorph, eV per formula unit: 1.93
E_form (uncorrected), eV per atom: 0.70

=====

(6)
This record from Alexandria describes crystalline BePd3Br at its relaxed geometry. The functional is PBE.

Unit cell a=4.734 b=4.734 c=4.734 alpha=90.00 beta=90.00 gamma=90.00
Atoms (fractional coordinates):
Pd (0.000, 0.500, 0.000)
Pd (0.000, 0.000, 0.500)
Pd (0.500, 0.000, 0.000)
Be (0.500, 0.500, 0.500)
Br (0.000, 0.000, 0.000)

Calculated values
Crystal system: cubic
SG: Pm-3m, No. 221
M_tot, μB per atom: 0.0000
ρ, kg/m3: 6387
V, Å³ per cell: 106.1
ΔE to the lowest computed polymorph, eV per formula unit: 4.06
E_form (uncorrected), eV per atom: 0.96

=====

Calculated raw total energy, -4.40; -4.05; -3.17; -3.68; -2.88; -3.24 eV/atom (same order as the records).